[1]
Material: YEr2Al7Cu2
Method: DFT, PBE
State: optimized geometry

Cell lengths 9.0271, 9.0271, 9.0271 Å; angles 35.28, 35.28, 35.28 degrees
With the nearest neighbours (Å) after each atom.
Atoms (fractional coordinates):
Al: 0.5822 0.5822 0.0728  2 Cu 2.53-2.57, 5 Al 2.68-2.79
Al: 0.9272 0.4178 0.4178  2 Cu 2.53-2.57, 5 Al 2.68-2.79
Al: 0.4178 0.9272 0.4178  2 Cu 2.53-2.57, 5 Al 2.68-2.79
Al: 0.5000 0.5000 0.5000  6 Al 2.74
Al: 0.5822 0.0728 0.5822  2 Cu 2.53-2.57, 5 Al 2.68-2.79
Al: 0.0728 0.5822 0.5822  2 Cu 2.53-2.57, 5 Al 2.68-2.79
Al: 0.4178 0.4178 0.9272  2 Cu 2.53-2.57, 5 Al 2.68-2.79
Cu: 0.3353 0.3353 0.3353  6 Al 2.53-2.57
Cu: 0.6647 0.6647 0.6647  6 Al 2.53-2.57
Er: 0.1422 0.1422 0.1422  12 Al 3.17-3.24, 3 Er 3.39
Er: 0.8578 0.8578 0.8578  12 Al 3.17-3.24, 3 Er 3.39
Y: 0.0000 0.0000 0.0000  6 Cu 3.16, 12 Al 3.39

***

[2]
Material: KAlCuF6
Method: DFT, PBE
State: optimized geometry

Cell lengths 6.5292, 6.8947, 9.4839 Å; angles 90.00, 90.00, 90.00 degrees
With the nearest neighbours (Å) after each atom.
Atoms (fractional coordinates):
Al: 0.0000 0.0000 0.0000  6 F 1.79-1.81
Al: 0.0000 0.5000 0.0000  6 F 1.79-1.81
Al: 0.5000 0.0000 0.5000  6 F 1.79-1.81
Al: 0.5000 0.5000 0.5000  6 F 1.79-1.81
Cu: 0.6795 0.7500 0.2372  2 F 1.86
Cu: 0.1795 0.7500 0.2628  2 F 1.86
Cu: 0.8205 0.2500 0.7372  2 F 1.86
Cu: 0.3205 0.2500 0.7628  2 F 1.86
F: 0.9238 0.2500 0.0076  2 Al 1.80
F: 0.7536 0.5554 0.0729  1 Al 1.79
F: 0.7536 0.9446 0.0729  1 Al 1.79
F: 0.4190 0.7500 0.1566  2 Cu 1.86
F: 0.1113 0.0212 0.1736  1 Al 1.81
F: 0.1113 0.4788 0.1736  1 Al 1.81
F: 0.6113 0.0212 0.3264  1 Al 1.81
F: 0.6113 0.4788 0.3264  1 Al 1.81
F: 0.9190 0.7500 0.3434  2 Cu 1.86
F: 0.2536 0.5554 0.4271  1 Al 1.79
F: 0.2536 0.9446 0.4271  1 Al 1.79
F: 0.4238 0.2500 0.4924  2 Al 1.80
F: 0.5762 0.7500 0.5076  2 Al 1.80
F: 0.7464 0.0554 0.5729  1 Al 1.79
F: 0.7464 0.4446 0.5729  1 Al 1.79
F: 0.0810 0.2500 0.6566  2 Cu 1.86
F: 0.3887 0.5212 0.6736  1 Al 1.81
F: 0.3887 0.9788 0.6736  1 Al 1.81
F: 0.8887 0.5212 0.8264  1 Al 1.81
F: 0.8887 0.9788 0.8264  1 Al 1.81
F: 0.5810 0.2500 0.8434  2 Cu 1.86
F: 0.2464 0.0554 0.9271  1 Al 1.79
F: 0.2464 0.4446 0.9271  1 Al 1.79
F: 0.0762 0.7500 0.9924  2 Al 1.80
K: 0.4798 0.2500 0.1207  9 F 2.65-2.92
K: 0.9798 0.2500 0.3793  9 F 2.65-2.92
K: 0.0202 0.7500 0.6207  9 F 2.65-2.92
K: 0.5202 0.7500 0.8793  9 F 2.65-2.92

***

The records above yield final energy values of -4.5902; -4.8853 eV/atom, respectively.